[1]
Compound: Ge3RuF
Source: Alexandria via LeMat-Bulk
Functional: meta-GGA SCAN
Structure: single point on PBEsol structure

Lattice parameters (Å, degrees): 4.677 4.677 4.677 90.00 90.00 90.00
Fractional positions:
Ge (0.000, 0.000, 0.500)
Ge (0.000, 0.500, 0.000)
Ge (0.500, 0.000, 0.000)
Ru (0.000, 0.000, 0.000)
F (0.500, 0.500, 0.500)

Results
Symmetry: No. 221
Fermi-level density of states in states/eV per cell: 4.62
ρ in g/cm3: 5.487
Uncorrected formation energy in eV per formula unit: -1.177
Calculated volume in A^3/atom: 20.46
Crystal system: cubic

=====

[2]
Compound: Zn2GeRuF
Source: Alexandria via LeMat-Bulk
Functional: meta-GGA SCAN
Structure: single point on PBEsol structure

Lattice parameters (Å, degrees): 4.707 4.707 3.850 90.00 90.00 90.00
Fractional positions:
Zn (0.000, 0.500, 0.000)
Zn (0.500, 0.000, 0.000)
Ge (0.000, 0.000, 0.000)
Ru (0.500, 0.500, 0.500)
F (0.000, 0.000, 0.500)

Results
Symmetry: No. 123
Fermi-level density of states in states/eV per cell: 2.33
ρ in g/cm3: 6.298
Uncorrected formation energy in eV per formula unit: 2.007
Calculated volume in A^3/atom: 17.06
Crystal system: tetragonal

=====

[3]
Compound: GeS2F12
Source: Alexandria via LeMat-Bulk
Functional: meta-GGA SCAN
Structure: single point on PBEsol structure

Lattice parameters (Å, degrees): 7.646 9.297 5.978 90.00 90.00 90.00
Fractional positions:
Ge (0.000, 0.000, 0.000)
Ge (0.500, 0.500, 0.500)
S (0.089, 0.243, 0.500)
S (0.411, 0.743, 0.000)
S (0.589, 0.257, 0.000)
S (0.911, 0.757, 0.500)
F (0.055, 0.353, 0.308)
F (0.055, 0.353, 0.692)
F (0.102, 0.818, 0.500)
F (0.135, 0.839, 0.000)
F (0.138, 0.080, 0.214)
F (0.138, 0.080, 0.786)
F (0.362, 0.580, 0.286)
F (0.362, 0.580, 0.714)
F (0.365, 0.339, 0.500)
F (0.398, 0.318, 0.000)
F (0.445, 0.853, 0.192)
F (0.445, 0.853, 0.808)
F (0.555, 0.147, 0.192)
F (0.555, 0.147, 0.808)
F (0.602, 0.682, 0.000)
F (0.635, 0.661, 0.500)
F (0.638, 0.420, 0.286)
F (0.638, 0.420, 0.714)
F (0.862, 0.920, 0.214)
F (0.862, 0.920, 0.786)
F (0.865, 0.161, 0.000)
F (0.898, 0.182, 0.500)
F (0.945, 0.647, 0.308)
F (0.945, 0.647, 0.692)

Results
Symmetry: No. 58
Fermi-level density of states in states/eV per cell: 0.00
ρ in g/cm3: 2.851
Uncorrected formation energy in eV per formula unit: -30.000
Calculated volume in A^3/atom: 14.16
Crystal system: orthorhombic

=====

[4]
Compound: GeSbF3
Source: Alexandria via LeMat-Bulk
Functional: meta-GGA SCAN
Structure: single point on PBEsol structure

Lattice parameters (Å, degrees): 4.381 4.381 4.381 90.00 90.00 90.00
Fractional positions:
Ge (0.000, 0.000, 0.000)
Sb (0.500, 0.500, 0.500)
F (0.000, 0.000, 0.500)
F (0.000, 0.500, 0.000)
F (0.500, 0.000, 0.000)

Results
Symmetry: No. 221
Fermi-level density of states in states/eV per cell: 3.18
ρ in g/cm3: 4.966
Uncorrected formation energy in eV per formula unit: -5.494
Calculated volume in A^3/atom: 16.81
Crystal system: cubic